No. 1
Here is a relaxed Mg2Zn2Cu5Si crystal from Alexandria via LeMat-Bulk. Energies are from GGA-PBE.

Lattice parameters (Å, degrees): 9.3911 9.3911 3.3242 90.00 90.00 90.00
With the nearest neighbours (Å) after each atom.
Sites, in units of the cell vectors:
Mg (0.1696, 0.3304, 0.0000)  3 Zn 2.67-2.83, 2 Cu 2.80
Mg (0.3304, 0.8304, 0.0000)  3 Zn 2.67-2.83, 2 Cu 2.80
Mg (0.6696, 0.1696, 0.0000)  3 Zn 2.67-2.83, 2 Cu 2.80
Mg (0.8304, 0.6696, 0.0000)  3 Zn 2.67-2.83, 2 Cu 2.80
Zn (0.1295, 0.6295, 0.0000)  6 Cu 2.39-2.48, 1 Mg 2.67
Zn (0.3705, 0.1295, 0.0000)  6 Cu 2.39-2.48, 1 Mg 2.67
Zn (0.6295, 0.8705, 0.0000)  6 Cu 2.39-2.48, 1 Mg 2.67
Zn (0.8705, 0.3705, 0.0000)  6 Cu 2.39-2.48, 1 Mg 2.67
Cu (0.0000, 0.5000, 0.5000)  4 Zn 2.39
Cu (0.0619, 0.8137, 0.5000)  2 Zn 2.48, 2 Si 2.48, 2 Cu 2.61
Cu (0.1863, 0.0619, 0.5000)  2 Zn 2.48, 2 Si 2.48, 2 Cu 2.61
Cu (0.3137, 0.5619, 0.5000)  2 Zn 2.48, 2 Si 2.48, 2 Cu 2.61
Cu (0.4381, 0.3137, 0.5000)  2 Zn 2.48, 2 Si 2.48, 2 Cu 2.61
Cu (0.5000, 0.0000, 0.5000)  4 Zn 2.39
Cu (0.5619, 0.6863, 0.5000)  2 Zn 2.48, 2 Si 2.48, 2 Cu 2.61
Cu (0.6863, 0.4381, 0.5000)  2 Zn 2.48, 2 Si 2.48, 2 Cu 2.61
Cu (0.8137, 0.9381, 0.5000)  2 Zn 2.48, 2 Si 2.48, 2 Cu 2.61
Cu (0.9381, 0.1863, 0.5000)  2 Zn 2.48, 2 Si 2.48, 2 Cu 2.61
Si (0.0000, 0.0000, 0.0000)  8 Cu 2.48
Si (0.5000, 0.5000, 0.0000)  8 Cu 2.48

Properties
Final energy = -3.168 eV/atom
ρ = 5.95 Mg/m³
Crystal system = tetragonal
Total magnetic moment = 0.000 μB/atom
E_form (uncorrected) = 0.0 eV per formula unit

No. 2
Here is a relaxed Zr2Si6Ni21 crystal from Alexandria via LeMat-Bulk. Energies are from GGA-PBE.

Lattice parameters (Å, degrees): 7.9358 7.9358 7.9358 60.00 60.00 60.00
With the nearest neighbours (Å) after each atom.
Sites, in units of the cell vectors:
Zr (0.2500, 0.2500, 0.2500)  4 Ni 2.58
Zr (0.7500, 0.7500, 0.7500)  4 Ni 2.58
Si (0.2364, 0.2364, 0.7636)  8 Ni 2.20-2.29
Si (0.2364, 0.7636, 0.2364)  8 Ni 2.20-2.29
Si (0.2364, 0.7636, 0.7636)  8 Ni 2.20-2.29
Si (0.7636, 0.2364, 0.2364)  8 Ni 2.20-2.29
Si (0.7636, 0.2364, 0.7636)  8 Ni 2.20-2.29
Si (0.7636, 0.7636, 0.2364)  8 Ni 2.20-2.29
Ni (0.1175, 0.1175, 0.1175)  3 Si 2.29
Ni (0.1175, 0.1175, 0.6476)  3 Si 2.29
Ni (0.1175, 0.6476, 0.1175)  3 Si 2.29
Ni (0.1486, 0.5000, 0.5000)  2 Si 2.20, 1 Ni 2.36
Ni (0.1486, 0.5000, 0.8514)  2 Si 2.20, 1 Ni 2.36
Ni (0.1486, 0.8514, 0.5000)  2 Si 2.20, 1 Ni 2.36
Ni (0.3524, 0.8825, 0.8825)  3 Si 2.29
Ni (0.5000, 0.1486, 0.5000)  2 Si 2.20, 1 Ni 2.36
Ni (0.5000, 0.1486, 0.8514)  2 Si 2.20, 1 Ni 2.36
Ni (0.5000, 0.5000, 0.1486)  2 Si 2.20, 1 Ni 2.36
Ni (0.5000, 0.5000, 0.5000)  12 Ni 2.79, 6 Si 2.96
Ni (0.5000, 0.5000, 0.8514)  2 Si 2.20, 1 Ni 2.36
Ni (0.5000, 0.8514, 0.1486)  2 Si 2.20, 1 Ni 2.36
Ni (0.5000, 0.8514, 0.5000)  2 Si 2.20, 1 Ni 2.36
Ni (0.6476, 0.1175, 0.1175)  3 Si 2.29
Ni (0.8514, 0.1486, 0.5000)  2 Si 2.20, 1 Ni 2.36
Ni (0.8514, 0.5000, 0.1486)  2 Si 2.20, 1 Ni 2.36
Ni (0.8514, 0.5000, 0.5000)  2 Si 2.20, 1 Ni 2.36
Ni (0.8825, 0.3524, 0.8825)  3 Si 2.29
Ni (0.8825, 0.8825, 0.3524)  3 Si 2.29
Ni (0.8825, 0.8825, 0.8825)  3 Si 2.29

Properties
Final energy = -6.305 eV/atom
ρ = 7.44 Mg/m³
Crystal system = cubic
Total magnetic moment = 0.000 μB/atom
E_form (uncorrected) = -11.8 eV per formula unit

No. 3
Here is a relaxed LiPm3Sc3Te8 crystal from Alexandria via LeMat-Bulk. Energies are from GGA-PBE.

Lattice parameters (Å, degrees): 8.6124 8.6124 8.6124 59.63 59.63 59.63
With the nearest neighbours (Å) after each atom.
Sites, in units of the cell vectors:
Li (0.0000, 0.0000, 0.0000)  6 Te 3.03
Pm (0.0000, 0.0000, 0.5000)  6 Te 3.13
Pm (0.0000, 0.5000, 0.0000)  6 Te 3.13
Pm (0.5000, 0.0000, 0.0000)  6 Te 3.13
Sc (0.0000, 0.5000, 0.5000)  6 Te 2.95
Sc (0.5000, 0.0000, 0.5000)  6 Te 2.95
Sc (0.5000, 0.5000, 0.0000)  6 Te 2.95
Te (0.2497, 0.2497, 0.7352)  2 Sc 2.95, 1 Li 3.03, 2 Pm 3.13
Te (0.2497, 0.7352, 0.2497)  2 Sc 2.95, 1 Li 3.03, 2 Pm 3.13
Te (0.2575, 0.2575, 0.2575)  3 Sc 2.95, 3 Pm 3.13
Te (0.2648, 0.7503, 0.7503)  2 Sc 2.95, 1 Li 3.03, 2 Pm 3.13
Te (0.7352, 0.2497, 0.2497)  2 Sc 2.95, 1 Li 3.03, 2 Pm 3.13
Te (0.7425, 0.7425, 0.7425)  3 Sc 2.95, 3 Pm 3.13
Te (0.7503, 0.2648, 0.7503)  2 Sc 2.95, 1 Li 3.03, 2 Pm 3.13
Te (0.7503, 0.7503, 0.2648)  2 Sc 2.95, 1 Li 3.03, 2 Pm 3.13

Properties
Final energy = -5.284 eV/atom
ρ = 5.92 Mg/m³
Crystal system = trigonal
Total magnetic moment = 0.000 μB/atom
E_form (uncorrected) = -19.0 eV per formula unit

No. 4
Here is a relaxed ZnCo3Pt crystal from Alexandria via LeMat-Bulk. Energies are from GGA-PBE.

Lattice parameters (Å, degrees): 4.2590 4.2590 4.2590 90.00 90.00 90.00
With the nearest neighbours (Å) after each atom.
Sites, in units of the cell vectors:
Zn (0.0000, 0.0000, 0.0000)  6 Co 2.13
Co (0.0000, 0.0000, 0.5000)  2 Zn 2.13
Co (0.0000, 0.5000, 0.0000)  2 Zn 2.13
Co (0.5000, 0.0000, 0.0000)  2 Zn 2.13
Pt (0.5000, 0.5000, 0.5000)  12 Co 3.01

Properties
Final energy = -4.552 eV/atom
Calculated formation energy = 113 kJ per mole of atoms
E above lowest polymorph = 0 meV/atom
ρ = 9.40 Mg/m³
Crystal system = cubic
Total magnetic moment = 1.019 μB/atom

No. 5
Here is a relaxed Sr2YTi2TlO7 crystal from Alexandria via LeMat-Bulk. Energies are from GGA-PBE.

Lattice parameters (Å, degrees): 3.9042 3.9042 12.8435 90.00 90.00 90.00
With the nearest neighbours (Å) after each atom.
Sites, in units of the cell vectors:
Sr (0.0000, 0.0000, 0.1858)  1 O 2.39
Sr (0.0000, 0.0000, 0.8142)  1 O 2.39
Y (0.0000, 0.0000, 0.5000)  8 O 2.45
Ti (0.5000, 0.5000, 0.3615)  5 O 1.90-1.97
Ti (0.5000, 0.5000, 0.6385)  5 O 1.90-1.97
Tl (0.5000, 0.5000, 0.0000)  6 O 2.75-2.76
O (0.0000, 0.0000, 0.0000)  2 Sr 2.39
O (0.0000, 0.5000, 0.3847)  2 Ti 1.97
O (0.0000, 0.5000, 0.6153)  2 Ti 1.97
O (0.5000, 0.0000, 0.3847)  2 Ti 1.97
O (0.5000, 0.0000, 0.6153)  2 Ti 1.97
O (0.5000, 0.5000, 0.2138)  1 Ti 1.90
O (0.5000, 0.5000, 0.7862)  1 Ti 1.90

Properties
Final energy = -7.472 eV/atom
ρ = 5.74 Mg/m³
Crystal system = tetragonal
Total magnetic moment = 0.000 μB/atom
E_form (uncorrected) = -34.4 eV per formula unit